Record 1
Below is a geometry-optimized ZrBe2Rh structure, with properties calculated at the GGA-PBEsol level.

Values from the calculation:
**DOS at the Fermi energy**: 5.6 states/eV per cell
**Magnetization**: 0.00 Bohr magnetons per cell
**E**: -26.88 eV/f.u.
**Formation energy**: -412 meV/atom

```
data_ZrBe2Rh
_chemical_formula_sum 'Zr3 Be6 Rh3'
_cell_length_a 3.7427
_cell_length_b 3.7427
_cell_length_c 13.2227
_cell_angle_alpha 90.00
_cell_angle_beta 90.00
_cell_angle_gamma 120.00
_space_group_name_H-M_alt 'R -3 m'
_space_group_IT_number 166
_space_group_name_Hall '-R 3 2"'
loop_
_atom_site_label
_atom_site_type_symbol
_atom_site_fract_x
_atom_site_fract_y
_atom_site_fract_z
_atom_site_occupancy
Zr1 Zr 0.0000 0.0000 0.0000 1
Be1 Be 0.0000 0.0000 0.2070 1
Rh1 Rh 0.0000 0.0000 0.5000 1
```

---

Record 2
Below is a geometry-optimized Zr2BeRh structure, with properties calculated at the GGA-PBEsol level.

Values from the calculation:
**DOS at the Fermi energy**: 7.3 states/eV per cell
**Magnetization**: 0.00 Bohr magnetons per cell
**E**: -32.05 eV/f.u.
**Formation energy**: -434 meV/atom

```
data_Zr2BeRh
_chemical_formula_sum 'Zr4 Be2 Rh2'
_cell_length_a 3.9727
_cell_length_b 3.3941
_cell_length_c 10.0044
_cell_angle_alpha 90.00
_cell_angle_beta 90.00
_cell_angle_gamma 90.00
_space_group_name_H-M_alt 'A m m 2'
_space_group_IT_number 38
loop_
_space_group_symop_operation_xyz
'x,y,z'
'-x,-y,z'
'-x,y,z'
'x,-y,z'
'x,y+1/2,z+1/2'
'-x,-y+1/2,z+1/2'
'-x,y+1/2,z+1/2'
'x,-y+1/2,z+1/2'
loop_
_atom_site_label
_atom_site_type_symbol
_atom_site_fract_x
_atom_site_fract_y
_atom_site_fract_z
_atom_site_occupancy
Zr1 Zr 0.0000 0.0000 0.0000 1
Zr2 Zr 0.5000 0.0000 0.2878 1
Be1 Be 0.0000 0.0000 0.7196 1
Rh1 Rh 0.5000 0.0000 0.5715 1
```

---

Record 3
Below is a geometry-optimized ZrBe2Rh structure, with properties calculated at the GGA-PBEsol level.

Values from the calculation:
**DOS at the Fermi energy**: 14.6 states/eV per cell
**Magnetization**: 0.00 Bohr magnetons per cell
**E**: -26.14 eV/f.u.
**Formation energy**: -228 meV/atom

```
data_ZrBe2Rh
_chemical_formula_sum 'Zr4 Be8 Rh4'
_cell_length_a 5.9848
_cell_length_b 5.9848
_cell_length_c 5.9848
_cell_angle_alpha 90.00
_cell_angle_beta 90.00
_cell_angle_gamma 90.00
_space_group_name_H-M_alt 'F -4 3 m'
_space_group_IT_number 216
_space_group_name_Hall 'F -4 2 3'
loop_
_atom_site_label
_atom_site_type_symbol
_atom_site_fract_x
_atom_site_fract_y
_atom_site_fract_z
_atom_site_occupancy
Zr1 Zr 0.0000 0.0000 0.0000 1
Be1 Be 0.0000 0.0000 0.5000 1
Be2 Be 0.2500 0.2500 0.2500 1
Rh1 Rh 0.2500 0.2500 0.7500 1
```

---

Record 4
Below is a geometry-optimized ZrBeRh3 structure, with properties calculated at the GGA-PBEsol level.

Values from the calculation:
**DOS at the Fermi energy**: 4.3 states/eV per cell
**Magnetization**: 0.00 Bohr magnetons per cell
**E**: -30.97 eV/f.u.
**Formation energy**: 1306 meV/atom

```
data_ZrBeRh3
_chemical_formula_sum 'Zr1 Be1 Rh3'
_cell_length_a 4.6539
_cell_length_b 4.6539
_cell_length_c 4.6539
_cell_angle_alpha 90.00
_cell_angle_beta 90.00
_cell_angle_gamma 90.00
_space_group_name_H-M_alt 'P m -3 m'
_space_group_IT_number 221
_space_group_name_Hall '-P 4 2 3'
loop_
_atom_site_label
_atom_site_type_symbol
_atom_site_fract_x
_atom_site_fract_y
_atom_site_fract_z
_atom_site_occupancy
Zr1 Zr 0.0000 0.0000 0.0000 1
Be1 Be 0.5000 0.5000 0.5000 1
Rh1 Rh 0.0000 0.0000 0.5000 1
```